First-principles (PBE) data for a relaxed structure of Rb3Nd2BiS6, as listed in Alexandria via LeMat-Bulk.

Summary:
The uncorrected formation energy is -1477 meV per atom. As for the density of states at the Fermi level: 0.000 states/eV/atom. The density is 4.4 g cm⁻³.

The structure in CIF format:
```
data_Rb3Nd2BiS6
_chemical_formula_sum 'Rb3 Nd2 Bi1 S6'
_space_group_name_H-M_alt 'P 1'
_space_group_IT_number 1
_space_group_name_Hall 'P 1'
_cell_length_a 7.3058
_cell_length_b 7.3058
_cell_length_c 8.0855
_cell_angle_alpha 98.66
_cell_angle_beta 98.66
_cell_angle_gamma 120.00
loop_
_atom_site_label
_atom_site_type_symbol
_atom_site_fract_x
_atom_site_fract_y
_atom_site_fract_z
Rb1 Rb 0.0000 0.0000 0.0000
Rb2 Rb 0.3345 0.6655 0.0000
Rb3 Rb 0.6655 0.3345 0.0000
Nd1 Nd 0.1668 0.8332 0.5000
Nd2 Nd 0.8332 0.1668 0.5000
Bi1 Bi 0.5000 0.5000 0.5000
S1 S 0.1002 0.4339 0.3017
S2 S 0.2323 0.2323 0.6981
S3 S 0.4339 0.1002 0.3017
S4 S 0.5661 0.8998 0.6983
S5 S 0.7677 0.7677 0.3019
S6 S 0.8998 0.5661 0.6983
```